Li2Pr (PBE, relaxed); ΔE to the lowest computed polymorph = 626 meV per atom; SG = Fm-3m; calculated volume = 89 Å³ per cell
1.0
0.000 3.541 3.541
3.541 0.000 3.541
3.541 3.541 0.000
Pr Li
1 2
Cartesian
0.000 0.000 0.000
1.771 1.771 1.771
5.312 5.312 5.312